(1)
{"formula": "RbFeRuS2", "functional": "PBEsol", "state": "optimized geometry", "cell": [[4.572, 0.000, 0.000], [0.000, 4.572, 0.000], [0.000, 0.000, 4.747]], "species": ["Ru", "S", "S", "Fe", "Rb"], "fractional_positions": [[0.000, 0.000, 0.500], [0.000, 0.500, 0.000], [0.500, 0.000, 0.000], [0.000, 0.000, 0.000], [0.500, 0.500, 0.500]], "e_form_raw_mev_per_atom": 515, "space_group": "P4/mmm, No. 123", "vol_a3_per_atom": 19.84}

---

(2)
{"formula": "RbFeTc2Ru", "functional": "PBEsol", "state": "optimized geometry", "cell": [[4.502, 0.000, 0.000], [0.000, 4.502, 0.000], [0.000, 0.000, 4.561]], "species": ["Ru", "Tc", "Tc", "Rb", "Fe"], "fractional_positions": [[0.000, 0.000, 0.500], [0.000, 0.500, 0.000], [0.500, 0.000, 0.000], [0.500, 0.500, 0.500], [0.000, 0.000, 0.000]], "ef_ev_per_fu": 8.7, "space_group": "P4/mmm, No. 123", "vol_a3_per_atom": 18.49}

---

(3)
{"formula": "RbZr2FeRu", "functional": "PBEsol", "state": "optimized geometry", "cell": [[-2.651, 1.699, -3.536], [2.786, -2.189, -3.140], [-2.770, -3.850, 0.227]], "species": ["Ru", "Rb", "Zr", "Zr", "Fe"], "fractional_positions": [[0.500, 0.500, 0.500], [0.000, 0.000, 0.500], [0.000, 0.500, 0.000], [0.500, 0.000, 0.000], [0.000, 0.000, 0.000]], "ef_ev_per_fu": 7.0, "space_group": "P4/mmm, No. 123", "vol_a3_per_atom": 21.29}

---

(4)
{"formula": "RbFeS2", "functional": "PBEsol", "state": "optimized geometry", "cell": [[-4.995, 0.055, -0.914], [0.574, -5.623, -3.473], [1.322, -0.196, 6.872]], "species": ["S", "S", "S", "S", "Fe", "Fe", "Rb", "Rb"], "fractional_positions": [[0.651, 0.151, 0.302], [0.349, 0.849, 0.698], [0.000, 0.746, 0.000], [0.000, 0.254, 0.000], [0.250, 0.000, 0.000], [0.750, 0.000, 0.000], [0.329, 0.329, 0.659], [0.671, 0.671, 0.341]], "e_form_raw_mev_per_atom": -781, "space_group": "Immm, No. 71", "vol_a3_per_atom": 23.66}

---

(5)
{"formula": "Rb4Fe2S5", "functional": "PBEsol", "state": "optimized geometry", "cell": [[-2.570, 4.741, 4.987], [-5.481, -4.942, 3.897], [5.509, -3.577, 7.806]], "species": ["Rb", "Rb", "Rb", "Rb", "Rb", "Rb", "Rb", "Rb", "Fe", "Fe", "Fe", "Fe", "S", "S", "S", "S", "S", "S", "S", "S", "S", "S"], "fractional_positions": [[0.944, 0.891, 0.244], [0.056, 0.109, 0.756], [0.581, 0.169, 0.917], [0.419, 0.831, 0.083], [0.408, 0.790, 0.489], [0.592, 0.210, 0.511], [0.211, 0.575, 0.868], [0.789, 0.425, 0.132], [0.737, 0.766, 0.775], [0.263, 0.234, 0.225], [0.913, 0.585, 0.595], [0.087, 0.415, 0.405], [0.848, 0.805, 0.957], [0.152, 0.195, 0.043], [0.456, 0.908, 0.758], [0.544, 0.092, 0.242], [0.918, 0.842, 0.592], [0.082, 0.158, 0.408], [0.740, 0.500, 0.772], [0.260, 0.500, 0.228], [0.809, 0.543, 0.418], [0.191, 0.457, 0.582]], "e_form_raw_mev_per_atom": -849, "space_group": "P-1, No. 2", "vol_a3_per_atom": 27.34}

---

(6)
{"formula": "RbFeS2", "functional": "PBEsol", "state": "optimized geometry", "cell": [[-4.786, 0.087, 1.784], [2.883, -4.247, 4.302], [1.685, 6.458, 0.566]], "species": ["S", "S", "S", "S", "Fe", "Fe", "Rb", "Rb"], "fractional_positions": [[0.590, 0.078, 0.287], [0.910, 0.713, 0.922], [0.090, 0.287, 0.078], [0.410, 0.922, 0.713], [0.750, 0.000, 0.000], [0.250, 0.000, 0.000], [0.250, 0.356, 0.644], [0.750, 0.644, 0.356]], "e_form_raw_mev_per_atom": -781, "space_group": "C2/c, No. 15", "vol_a3_per_atom": 23.87}

---

(7)
{"formula": "RbFe3S", "functional": "PBEsol", "state": "optimized geometry", "cell": [[-2.242, -3.901, -0.614], [0.695, 0.305, -4.477], [3.887, -2.304, 0.446]], "species": ["S", "Fe", "Fe", "Fe", "Rb"], "fractional_positions": [[0.500, 0.500, 0.500], [0.000, 0.500, 0.000], [0.000, 0.000, 0.500], [0.500, 0.000, 0.000], [0.000, 0.000, 0.000]], "e_form_raw_mev_per_atom": 2661, "space_group": "Pm-3m, No. 221", "vol_a3_per_atom": 18.72}

---

(8)
{"formula": "Rb3FeSb", "functional": "PBEsol", "state": "optimized geometry", "cell": [[6.920, 0.000, 0.000], [0.000, 6.920, 0.000], [0.000, 0.000, 6.920]], "species": ["Sb", "Fe", "Rb", "Rb", "Rb"], "fractional_positions": [[0.000, 0.000, 0.000], [0.500, 0.500, 0.500], [0.000, 0.500, 0.000], [0.000, 0.000, 0.500], [0.500, 0.000, 0.000]], "e_form_raw_mev_per_atom": 793, "space_group": "Pm-3m, No. 221", "vol_a3_per_atom": 66.27}

---

(9)
{"formula": "Rb2ScFe", "functional": "PBEsol", "state": "optimized geometry", "cell": [[5.919, 0.000, 0.000], [2.959, 5.126, 0.000], [2.959, 1.709, 4.833]], "species": ["Sc", "Fe", "Rb", "Rb"], "fractional_positions": [[0.000, 0.000, 0.000], [0.500, 0.500, 0.500], [0.250, 0.250, 0.250], [0.750, 0.750, 0.750]], "ef_ev_per_fu": 5.9, "space_group": "Fm-3m, No. 225", "vol_a3_per_atom": 36.65}

---

(10)
{"formula": "RbFe2Se3", "functional": "PBEsol", "state": "optimized geometry", "cell": [[5.298, 0.000, 0.000], [0.000, 7.255, 0.005], [0.000, -1.608, 7.074]], "species": ["Rb", "Rb", "Fe", "Fe", "Fe", "Fe", "Se", "Se", "Se", "Se", "Se", "Se"], "fractional_positions": [[0.250, 0.673, 0.327], [0.750, 0.327, 0.673], [0.000, 0.858, 0.858], [0.500, 0.142, 0.142], [0.000, 0.142, 0.142], [0.500, 0.858, 0.858], [0.750, 0.826, 0.606], [0.250, 0.174, 0.394], [0.750, 0.882, 0.118], [0.250, 0.118, 0.882], [0.750, 0.394, 0.174], [0.250, 0.606, 0.826]], "e_form_raw_mev_per_atom": -523, "space_group": "Cmcm, No. 63", "vol_a3_per_atom": 22.66}

---

(11)
{"formula": "RbFeSe3", "functional": "PBEsol", "state": "optimized geometry", "cell": [[-0.221, -5.188, -1.811], [1.017, -1.820, 5.089], [-5.400, -0.130, 1.032]], "species": ["Se", "Se", "Se", "Rb", "Fe"], "fractional_positions": [[0.000, 0.500, 0.000], [0.000, 0.000, 0.500], [0.500, 0.000, 0.000], [0.000, 0.000, 0.000], [0.500, 0.500, 0.500]], "e_form_raw_mev_per_atom": 1689, "space_group": "Pm-3m, No. 221", "vol_a3_per_atom": 33.26}

---

(12)
{"formula": "Rb3FeSe", "functional": "PBEsol", "state": "optimized geometry", "cell": [[-5.922, -0.851, -0.404], [0.666, -1.967, -5.625], [0.666, -5.600, 2.037]], "species": ["Se", "Rb", "Rb", "Rb", "Fe"], "fractional_positions": [[0.500, 0.500, 0.500], [0.000, 0.500, 0.000], [0.000, 0.000, 0.500], [0.500, 0.000, 0.000], [0.000, 0.000, 0.000]], "e_form_raw_mev_per_atom": 562, "space_group": "Pm-3m, No. 221", "vol_a3_per_atom": 43.12}

---

(13)
{"formula": "RbTaFe3", "functional": "PBEsol", "state": "optimized geometry", "cell": [[4.328, 0.000, 0.000], [0.000, 4.328, 0.000], [0.000, 0.000, 4.328]], "species": ["Fe", "Fe", "Fe", "Rb", "Ta"], "fractional_positions": [[0.000, 0.500, 0.000], [0.000, 0.000, 0.500], [0.500, 0.000, 0.000], [0.000, 0.000, 0.000], [0.500, 0.500, 0.500]], "ef_ev_per_fu": 13.7, "space_group": "Pm-3m, No. 221", "vol_a3_per_atom": 16.21}

---

(14)
{"formula": "RbFeTe3", "functional": "PBEsol", "state": "optimized geometry", "cell": [[5.253, 0.000, 0.000], [0.000, 5.253, 0.000], [0.000, 0.000, 5.253]], "species": ["Te", "Te", "Te", "Fe", "Rb"], "fractional_positions": [[0.000, 0.500, 0.000], [0.000, 0.000, 0.500], [0.500, 0.000, 0.000], [0.000, 0.000, 0.000], [0.500, 0.500, 0.500]], "e_form_raw_mev_per_atom": -106, "space_group": "Pm-3m, No. 221", "vol_a3_per_atom": 28.98}

---

(15)
{"formula": "FeRe", "functional": "PBEsol", "state": "optimized geometry", "cell": [[2.627, 0.000, 0.000], [0.000, 2.627, 0.000], [0.000, 0.000, 3.556]], "species": ["Re", "Fe"], "fractional_positions": [[0.500, 0.500, 0.500], [0.000, 0.000, 0.000]], "ef_ev_per_fu": 0.1, "space_group": "P4/mmm, No. 123", "vol_a3_per_atom": 12.27}

---

(16)
{"formula": "FeRe", "functional": "PBEsol", "state": "optimized geometry", "cell": [[3.374, 0.000, 0.000], [1.687, 2.922, 0.000], [1.687, 0.974, 2.755]], "species": ["Fe", "Re"], "fractional_positions": [[0.000, 0.000, 0.000], [0.500, 0.500, 0.500]], "ef_ev_per_fu": 2.2, "space_group": "Fm-3m, No. 225", "vol_a3_per_atom": 13.58}

---

(17)
{"formula": "FeRe2", "functional": "PBEsol", "state": "optimized geometry", "cell": [[2.689, 0.000, 0.000], [0.000, 4.279, 0.000], [-1.344, 0.000, 6.873]], "species": ["Re", "Re", "Re", "Re", "Fe", "Fe"], "fractional_positions": [[0.054, 0.250, 0.108], [0.275, 0.750, 0.549], [0.725, 0.250, 0.451], [0.946, 0.750, 0.892], [0.391, 0.250, 0.782], [0.609, 0.750, 0.218]], "ef_ev_per_fu": 0.1, "space_group": "Cmcm, No. 63", "vol_a3_per_atom": 13.18}

---

(18)
{"formula": "FeRe2", "functional": "PBEsol", "state": "optimized geometry", "cell": [[-0.263, -1.075, -3.596], [3.179, -1.980, 0.359], [-7.412, -7.464, 4.741]], "species": ["Fe", "Fe", "Fe", "Fe", "Re", "Re", "Re", "Re", "Re", "Re", "Re", "Re"], "fractional_positions": [[0.915, 0.915, 0.830], [0.085, 0.085, 0.170], [0.165, 0.665, 0.330], [0.335, 0.835, 0.670], [0.751, 0.751, 0.502], [0.249, 0.249, 0.498], [0.001, 0.501, 0.002], [0.499, 0.999, 0.998], [0.586, 0.586, 0.171], [0.414, 0.414, 0.829], [0.836, 0.336, 0.671], [0.664, 0.164, 0.329]], "ef_ev_per_fu": 0.2, "space_group": "I4_1/amd, No. 141", "vol_a3_per_atom": 13.25}

---

(19)
{"formula": "FeRe", "functional": "PBEsol", "state": "optimized geometry", "cell": [[2.619, 0.000, 0.000], [0.000, 3.964, 0.000], [-1.309, 0.000, 4.738]], "species": ["Re", "Re", "Fe", "Fe"], "fractional_positions": [[0.832, 0.750, 0.664], [0.168, 0.250, 0.336], [0.562, 0.750, 0.125], [0.438, 0.250, 0.875]], "ef_ev_per_fu": 0.0, "space_group": "Cmcm, No. 63", "vol_a3_per_atom": 12.30}

---

(20)
{"formula": "Fe24Re5", "functional": "PBEsol", "state": "optimized geometry", "cell": [[-4.618, 1.220, 5.700], [-1.741, -6.451, -3.265], [6.998, -0.296, 2.499]], "species": ["Fe", "Fe", "Fe", "Fe", "Fe", "Fe", "Fe", "Fe", "Fe", "Fe", "Fe", "Fe", "Fe", "Fe", "Fe", "Fe", "Fe", "Fe", "Fe", "Fe", "Fe", "Fe", "Fe", "Fe", "Re", "Re", "Re", "Re", "Re"], "fractional_positions": [[0.628, 0.817, 0.628], [0.811, 0.183, 0.811], [0.189, 0.000, 0.372], [0.372, 0.000, 0.189], [0.817, 0.628, 0.628], [0.183, 0.811, 0.811], [0.000, 0.372, 0.189], [0.000, 0.189, 0.372], [0.628, 0.628, 0.817], [0.811, 0.811, 0.183], [0.372, 0.189, 0.000], [0.189, 0.372, 0.000], [0.606, 0.283, 0.606], [0.323, 0.717, 0.323], [0.677, 0.000, 0.394], [0.394, 0.000, 0.677], [0.283, 0.606, 0.606], [0.717, 0.323, 0.323], [0.000, 0.394, 0.677], [0.000, 0.677, 0.394], [0.606, 0.606, 0.283], [0.323, 0.323, 0.717], [0.394, 0.677, 0.000], [0.677, 0.394, 0.000], [0.365, 0.365, 0.365], [0.000, 0.635, 0.000], [0.000, 0.000, 0.635], [0.635, 0.000, 0.000], [0.000, 0.000, 0.000]], "ef_ev_per_fu": 1.2, "space_group": "I-43m, No. 217", "vol_a3_per_atom": 10.92}

---

no.,DOS at the Fermi energy (states/eV per cell)
1,4.84
2,6.30
3,3.60
4,7.00
5,7.06
6,6.72
7,5.20
8,13.20
9,5.76
10,8.79
11,10.48
12,8.79
13,6.15
14,5.26
15,1.87
16,2.17
17,5.81
18,11.71
19,5.12
20,43.48